Below is PrSm5Y12 after structural relaxation, with properties calculated at the PBE-GGA level.

Cell: 15.231 10.773 5.087 Å, 90.00 90.00 45.10°
Sites, in units of the cell vectors:
1 Pr 0.000 0.000 0.000
2 Sm 0.500 0.000 0.500
3 Sm 0.168 0.665 0.500
4 Sm 0.832 0.335 0.500
5 Sm 0.667 0.667 0.000
6 Sm 0.333 0.333 0.000
7 Y 0.832 0.000 0.500
8 Y 0.168 0.000 0.500
9 Y 0.667 0.000 0.000
10 Y 0.333 0.000 0.000
11 Y 0.334 0.666 0.000
12 Y 0.000 0.666 0.000
13 Y 0.000 0.334 0.000
14 Y 0.666 0.334 0.000
15 Y 0.500 0.333 0.500
16 Y 0.833 0.667 0.500
17 Y 0.167 0.333 0.500
18 Y 0.500 0.667 0.500

Summary:
Calculated formation energy = 2.0 kJ per mole of atoms
Total DFT energy (no corrections) = -5.865 eV per atom
Fermi-level density of states = 1.519 states/eV/atom